1.
First-principles (PBE-GGA) data for crystalline LaPtSeN2 at its relaxed geometry, as listed in Alexandria.

abc: 4.1655 4.1655 4.9980
angles: 90.00 90.00 90.00
With the nearest neighbours (Å) after each atom.
Element x y z (fractional)
La 0.0000 0.0000 0.0000  4 Se 2.95, 8 N 3.25
Pt 0.5000 0.5000 0.5000  4 N 2.08
Se 0.5000 0.5000 0.0000  2 Pt 2.50
N 0.0000 0.5000 0.5000  2 Pt 2.08
N 0.5000 0.0000 0.5000  2 Pt 2.08

Output
energy: -0.220 hartree per atom
excess energy over the best structure of this formula in the dataset: 0.0 meV/atom
theoretical density: 8.444 Mg/m³
uncorrected formation energy: 5.14 kcal/mol of atoms
size of the total moment: 1.99 μB per formula unit
space-group type: P4/mmm, No. 123

2.
First-principles (PBE-GGA) data for crystalline LaPtSeN2 at its relaxed geometry, as listed in Alexandria.

abc: 4.0020 4.0020 6.6910
angles: 90.00 90.00 90.00
With the nearest neighbours (Å) after each atom.
Element x y z (fractional)
La 0.0000 0.0000 0.0000  4 N 2.00
Pt 0.5000 0.5000 0.5000  4 Se 2.83
Se 0.0000 0.0000 0.5000  4 Pt 2.83
N 0.0000 0.5000 0.0000  2 La 2.00
N 0.5000 0.0000 0.0000  2 La 2.00

Output
energy: -0.188 hartree per atom
excess energy over the best structure of this formula in the dataset: 880.0 meV/atom
theoretical density: 6.833 Mg/m³
uncorrected formation energy: 25.43 kcal/mol of atoms
size of the total moment: 0.00 μB per formula unit
space-group type: P4/mmm, No. 123